# 1
A plane-wave DFT calculation with PBE was carried out for crystalline Sc2TcPt at its relaxed geometry.

The calculation puts the total energy at -8.015 eV/atom. The value obtained for the energy of formation from the pure elements is -0.7464 eV/atom.

The structure belongs to space group Fm-3m (No. 225); the cell edges are 6.477, 6.477 and 6.477 Å and the angles 90.00°, 90.00° and 90.00°. The inequivalent atoms are Sc at (0.250, 0.250, 0.250), Tc at (0.000, 0.000, 0.000) and Pt at (0.000, 0.000, 0.500).

# 2
A plane-wave DFT calculation with PBE was carried out for crystalline Sc2TcPt at its relaxed geometry.

The calculation puts the total energy at -7.575 eV/atom. The value obtained for the energy of formation from the pure elements is -0.3064 eV/atom.

The structure belongs to space group Pnma (No. 62); the cell edges are 7.081, 7.286 and 5.747 Å and the angles 90.00°, 90.00° and 90.00°. The inequivalent atoms are Sc at (0.201, 0.014, 0.118), Tc at (0.019, 0.250, 0.635) and Pt at (0.080, 0.750, 0.832).

# 3
A plane-wave DFT calculation with PBE was carried out for crystalline Sc2TcPt at its relaxed geometry.

The calculation puts the total energy at -8.002 eV/atom. The value obtained for the energy of formation from the pure elements is -0.7341 eV/atom.

The structure belongs to space group P4/mmm (No. 123); the cell edges are 3.276, 3.276 and 6.413 Å and the angles 90.00°, 90.00° and 90.00°. The inequivalent atoms are Sc at (0.000, 0.000, 0.244), Tc at (0.500, 0.500, 0.000) and Pt at (0.500, 0.500, 0.500).

# 4
A plane-wave DFT calculation with PBE was carried out for crystalline Sc2TcPt at its relaxed geometry.

The calculation puts the total energy at -8.015 eV/atom. The value obtained for the energy of formation from the pure elements is -0.7463 eV/atom.

The structure belongs to space group Fm-3m (No. 225); the cell edges are 6.476, 6.476 and 6.476 Å and the angles 90.00°, 90.00° and 90.00°. The inequivalent atoms are Sc at (0.250, 0.250, 0.250), Tc at (0.000, 0.000, 0.000) and Pt at (0.000, 0.000, 0.500).

# 5
A plane-wave DFT calculation with PBE was carried out for crystalline ThScPt at its relaxed geometry.

The calculation puts the total energy at -7.275 eV/atom. The value obtained for the energy of formation from the pure elements is -0.6757 eV/atom.

The structure belongs to space group F-43m (No. 216); the cell edges are 6.845, 6.845 and 6.845 Å and the angles 90.00°, 90.00° and 90.00°. The inequivalent atoms are Th at (0.000, 0.000, 0.000), Sc at (0.000, 0.000, 0.500) and Pt at (0.250, 0.250, 0.750).

# 6
A plane-wave DFT calculation with PBE was carried out for crystalline ScTlPt2 at its relaxed geometry.

The calculation puts the total energy at -5.686 eV/atom.

The structure belongs to space group F-43m (No. 216); the cell edges are 6.625, 6.625 and 6.625 Å and the angles 90.00°, 90.00° and 90.00°. The inequivalent atoms are Sc at (0.000, 0.000, 0.000), Tl at (0.250, 0.250, 0.750), Pt at (0.000, 0.000, 0.500) and Pt at (0.250, 0.250, 0.250).